No. 1
! NdPuB | OQMD | PBE | optimized geometry; values from VASP
&SYSTEM
  ibrav = 0, nat = 3, ntyp = 3
/
ATOMIC_SPECIES
B 10.81 B.upf
Nd 144.24 Nd.upf
Pu 244.00 Pu.upf
ATOMIC_POSITIONS angstrom
B 0.000 0.000 0.000
Nd 1.610 1.610 1.610
Pu 4.829 4.829 4.829
CELL_PARAMETERS angstrom
0.000 3.219 3.219
3.219 0.000 3.219
3.219 3.219 0.000
! **Final energy**: -24.8 eV per formula unit
! **Calculated volume**: 22.241 Å³/atom
! **Space group**: F-43m (216)

=====

No. 2
! Nd2Re3B6 | OQMD | PBE | optimized geometry; values from VASP
&SYSTEM
  ibrav = 0, nat = 22, ntyp = 3
/
ATOMIC_SPECIES
B 10.81 B.upf
Nd 144.24 Nd.upf
Re 186.21 Re.upf
ATOMIC_POSITIONS angstrom
B 4.265 2.269 0.147
B 2.689 -0.489 0.254
B 1.334 0.479 1.002
B 5.412 0.479 2.789
B 4.057 -0.489 3.537
B 2.480 2.269 3.644
B 4.206 -2.269 3.946
B 2.629 0.489 4.052
B 1.274 -0.479 4.801
B 5.353 -0.479 6.587
B 3.998 0.489 7.336
B 2.421 -2.269 7.443
Nd 4.968 -1.851 1.319
Nd 1.778 -1.851 2.472
Nd 4.908 1.851 5.117
Nd 1.718 1.851 6.271
Re 6.096 0.980 0.659
Re 3.373 0.895 1.895
Re 0.650 0.980 3.132
Re 6.036 -0.980 4.458
Re 3.313 -0.895 5.694
Re 0.590 -0.980 6.930
CELL_PARAMETERS angstrom
3.403 -5.315 -0.004
3.403 5.315 -0.004
-0.119 0.000 7.597
! **Final energy**: -91.7 eV per formula unit
! **Calculated volume**: 12.491 Å³/atom
! **Space group**: C2/c (15)

=====

No. 3
! NdBSb | OQMD | PBE | optimized geometry; values from VASP
&SYSTEM
  ibrav = 0, nat = 3, ntyp = 3
/
ATOMIC_SPECIES
B 10.81 B.upf
Nd 144.24 Nd.upf
Sb 121.76 Sb.upf
ATOMIC_POSITIONS angstrom
B 0.000 0.000 0.000
Nd -0.436 -2.662 0.758
Sb -1.308 -7.985 2.273
CELL_PARAMETERS angstrom
-0.127 -4.330 -1.472
1.417 -3.387 2.730
-3.034 -2.930 1.772
! **Final energy**: -15.0 eV per formula unit
! **Calculated volume**: 22.569 Å³/atom
! **Space group**: F-43m (216)

=====

No. 4
! NdScB | OQMD | PBE | optimized geometry; values from VASP
&SYSTEM
  ibrav = 0, nat = 3, ntyp = 3
/
ATOMIC_SPECIES
B 10.81 B.upf
Nd 144.24 Nd.upf
Sc 44.96 Sc.upf
ATOMIC_POSITIONS angstrom
B 1.580 1.580 1.580
Nd 0.000 0.000 0.000
Sc 4.740 4.740 4.740
CELL_PARAMETERS angstrom
0.000 3.160 3.160
3.160 0.000 3.160
3.160 3.160 0.000
! **Final energy**: -14.3 eV per formula unit
! **Calculated volume**: 21.037 Å³/atom
! **Space group**: F-43m (216)

=====

No. 5
! NdScB | OQMD | PBE | optimized geometry; values from VASP
&SYSTEM
  ibrav = 0, nat = 3, ntyp = 3
/
ATOMIC_SPECIES
B 10.81 B.upf
Nd 144.24 Nd.upf
Sc 44.96 Sc.upf
ATOMIC_POSITIONS angstrom
B 0.000 0.000 0.000
Nd -0.931 -1.861 1.780
Sc -2.792 -5.584 5.340
CELL_PARAMETERS angstrom
0.949 -2.283 3.726
-3.244 -0.950 2.928
-1.428 -4.212 0.466
! **Final energy**: -17.5 eV per formula unit
! **Calculated volume**: 21.079 Å³/atom
! **Space group**: F-43m (216)

=====

No. 6
! NdSmB | OQMD | PBE | optimized geometry; values from VASP
&SYSTEM
  ibrav = 0, nat = 3, ntyp = 3
/
ATOMIC_SPECIES
B 10.81 B.upf
Nd 144.24 Nd.upf
Sm 150.36 Sm.upf
ATOMIC_POSITIONS angstrom
B 0.000 0.000 0.000
Nd 1.645 1.645 1.645
Sm 4.934 4.934 4.934
CELL_PARAMETERS angstrom
0.000 3.289 3.289
3.289 0.000 3.289
3.289 3.289 0.000
! **Final energy**: -15.6 eV per formula unit
! **Calculated volume**: 23.726 Å³/atom
! **Space group**: F-43m (216)

=====

No. 7
! NdSnB | OQMD | PBE | optimized geometry; values from VASP
&SYSTEM
  ibrav = 0, nat = 3, ntyp = 3
/
ATOMIC_SPECIES
B 10.81 B.upf
Nd 144.24 Nd.upf
Sn 118.71 Sn.upf
ATOMIC_POSITIONS angstrom
B 1.709 1.709 1.709
Nd 0.000 0.000 0.000
Sn 5.127 5.127 5.127
CELL_PARAMETERS angstrom
0.000 3.418 3.418
3.418 0.000 3.418
3.418 3.418 0.000
! **Final energy**: -12.9 eV per formula unit
! **Calculated volume**: 26.615 Å³/atom
! **Space group**: F-43m (216)

=====

No. 8
! NdSnB | OQMD | PBE | optimized geometry; values from VASP
&SYSTEM
  ibrav = 0, nat = 3, ntyp = 3
/
ATOMIC_SPECIES
B 10.81 B.upf
Nd 144.24 Nd.upf
Sn 118.71 Sn.upf
ATOMIC_POSITIONS angstrom
B 0.000 0.000 0.000
Nd 1.593 1.593 1.593
Sn 4.780 4.780 4.780
CELL_PARAMETERS angstrom
0.000 3.187 3.187
3.187 0.000 3.187
3.187 3.187 0.000
! **Final energy**: -15.0 eV per formula unit
! **Calculated volume**: 21.578 Å³/atom
! **Space group**: F-43m (216)

=====

- The highest calculated volume belongs to which entry?
  number 7

=====

- Which of these has the highest calculated volume?
  number 7

=====

- What is the calculated volume in the eighth record?
  21.578 Å³/atom